1.
First-principles (GGA-PBE) data for a geometry-optimized TaGa2Ni structure, as listed in OQMD via LeMat-Bulk.

Unit cell a=4.3971 b=4.3971 c=4.3971 alpha=60.00 beta=60.00 gamma=60.00
Fractional positions:
Ga (0.0000, 0.0000, 0.0000)
Ga (0.7500, 0.7500, 0.7500)
Ni (0.2500, 0.2500, 0.2500)
Ta (0.5000, 0.5000, 0.5000)

Results
total energy	-5.778	eV/atom

***

2.
First-principles (GGA-PBE) data for a geometry-optimized TaI4Cl structure, as listed in OQMD via LeMat-Bulk.

Unit cell a=7.4534 b=8.0288 c=10.4311 alpha=111.18 beta=90.85 gamma=116.11
Fractional positions:
Cl (0.8099, 0.8537, 0.0381)
Cl (0.1901, 0.1463, 0.9619)
I (0.8769, 0.3671, 0.1439)
I (0.3017, 0.0088, 0.2422)
I (0.4357, 0.5631, 0.3166)
I (0.9278, 0.1777, 0.4250)
I (0.0722, 0.8223, 0.5750)
I (0.5643, 0.4369, 0.6834)
I (0.6983, 0.9912, 0.7578)
I (0.1231, 0.6329, 0.8561)
Ta (0.0984, 0.2040, 0.2053)
Ta (0.9016, 0.7960, 0.7947)

Results
total energy	-3.913	eV/atom
E above lowest polymorph	0.013	eV/atom

***

3.
First-principles (GGA-PBE) data for a geometry-optimized Zr4Cu3Mo2N3 structure, as listed in OQMD via LeMat-Bulk.

Unit cell a=5.5725 b=5.5725 c=13.3017 alpha=102.15 beta=102.15 gamma=60.17
Fractional positions:
Cu (0.4170, 0.3258, 0.2499)
Cu (0.1595, 0.8405, 0.2500)
Cu (0.6742, 0.5830, 0.2501)
Cu (0.3258, 0.4170, 0.7499)
Cu (0.8405, 0.1595, 0.7500)
Cu (0.5830, 0.6742, 0.7501)
Mo (0.3537, 0.5230, 0.0691)
Mo (0.4770, 0.6463, 0.4309)
Mo (0.5230, 0.3537, 0.5691)
Mo (0.6463, 0.4770, 0.9309)
N (0.0000, 0.5000, 0.0000)
N (0.3245, 0.8520, 0.0002)
N (0.1480, 0.6755, 0.4998)
N (0.5000, 0.0000, 0.5000)
N (0.8520, 0.3245, 0.5002)
N (0.6755, 0.1480, 0.9998)
Zr (0.0359, 0.1992, 0.1074)
Zr (0.6985, 0.8735, 0.1074)
Zr (0.1265, 0.3015, 0.3926)
Zr (0.8008, 0.9641, 0.3926)
Zr (0.1992, 0.0360, 0.6074)
Zr (0.8735, 0.6985, 0.6074)
Zr (0.3015, 0.1265, 0.8926)
Zr (0.9640, 0.8008, 0.8926)

Results
total energy	-8.294	eV/atom

***

> Look up the total energy of the second one.

-3.913 eV/atom

***

> Which value of total energy does entry 2 give?

-3.913 eV/atom

***

What did the first record say?
First-principles (GGA-PBE) data for a geometry-optimized TaGa2Ni structure, as listed in OQMD via LeMat-Bulk.

Unit cell a=4.3971 b=4.3971 c=4.3971 alpha=60.00 beta=60.00 gamma=60.00
Fractional positions:
Ga (0.0000, 0.0000, 0.0000)
Ga (0.7500, 0.7500, 0.7500)
Ni (0.2500, 0.2500, 0.2500)
Ta (0.5000, 0.5000, 0.5000)

Results
total energy	-5.778	eV/atom

***

> Which formula does entry 2 have?

TaI4Cl